Entry 1:
First-principles (meta-GGA SCAN) data for a crystal of As2IrW relaxed with PBEsol, as listed in Alexandria.

Cell and atoms, written as POSCAR:
```
As2IrW
1.0
2.971 0.000 0.000
1.486 2.573 0.000
1.486 0.858 7.955
As Ir W
2 1 1
direct
0.750 0.750 0.750 As
0.250 0.250 0.250 As
0.000 0.000 0.000 Ir
0.500 0.500 0.500 W
```

## Properties
- Energy above the lowest structure with this stoichiometry: 0.00 eV per formula unit
- M_tot: 0.000 μB/cell
- Symmetry: R-3m, No. 166
- Total DFT energy (no corrections): -180.00 eV per cell
- Formation enthalpy at 0 K: 28.2 kJ/mol of atoms

---

Entry 2:
First-principles (meta-GGA SCAN) data for a crystal of As2IrW relaxed with PBEsol, as listed in Alexandria.

Cell and atoms, written as POSCAR:
```
As2IrW
1.0
-1.551 2.572 -0.399
-4.220 -2.627 -0.526
2.232 0.264 4.527
As W Ir
2 1 1
direct
0.257 0.257 0.515 As
0.743 0.743 0.485 As
0.500 0.000 0.000 W
0.000 0.500 0.000 Ir
```

## Properties
- Energy above the lowest structure with this stoichiometry: 1.19 eV per formula unit
- M_tot: 0.000 μB/cell
- Symmetry: Immm, No. 71
- Total DFT energy (no corrections): -178.81 eV per cell
- Formation enthalpy at 0 K: 57.0 kJ/mol of atoms

---

Entry 3:
First-principles (meta-GGA SCAN) data for a crystal of YAsIr2 relaxed with PBEsol, as listed in Alexandria.

Cell and atoms, written as POSCAR:
```
YAsIr2
1.0
-0.923 2.158 3.002
-3.436 -2.721 0.900
4.518 -1.913 0.345
Y Ir As
1 2 1
direct
0.500 0.000 0.000 Y
0.272 0.272 0.544 Ir
0.728 0.728 0.456 Ir
0.000 0.500 0.000 As
```

## Properties
- M_tot: 0.000 μB/cell
- Symmetry: Immm, No. 71
- Total DFT energy (no corrections): -192.02 eV per cell
- Formation enthalpy at 0 K: -43.0 kJ/mol of atoms

---

Entry 4:
First-principles (meta-GGA SCAN) data for a crystal of YAsIr relaxed with PBEsol, as listed in Alexandria.

Cell and atoms, written as POSCAR:
```
YAsIr
1.0
-3.032 -2.090 -0.734
2.474 -3.346 -0.694
-1.469 0.769 3.880
As Ir Y
1 1 1
direct
0.000 0.000 0.000 As
0.000 0.667 0.333 Ir
0.500 0.333 0.667 Y
```

## Properties
- M_tot: 0.000 μB/cell
- Symmetry: P-6m2, No. 187
- Total DFT energy (no corrections): -122.57 eV per cell
- Formation enthalpy at 0 K: -110.6 kJ/mol of atoms

---

Entry 5:
First-principles (meta-GGA SCAN) data for a crystal of ZnAs2Ir relaxed with PBEsol, as listed in Alexandria.

Cell and atoms, written as POSCAR:
```
ZnAs2Ir
1.0
-1.488 0.940 -4.090
-4.378 0.167 -0.793
-1.968 3.911 -0.809
Ir As Zn
1 2 1
direct
0.500 0.500 0.500 Ir
0.250 0.250 0.250 As
0.000 0.000 0.000 As
0.750 0.750 0.750 Zn
```

## Properties
- M_tot: 0.000 μB/cell
- Symmetry: F-43m, No. 216
- Total DFT energy (no corrections): -123.44 eV per cell
- Formation enthalpy at 0 K: 37.5 kJ/mol of atoms

---

Entry 6:
First-principles (meta-GGA SCAN) data for a crystal of ZnAsIr3 relaxed with PBEsol, as listed in Alexandria.

Cell and atoms, written as POSCAR:
```
ZnAsIr3
1.0
-1.875 -2.110 3.498
-2.753 -2.190 -2.797
3.017 -3.310 -0.379
As Ir Zn
1 3 1
direct
0.000 0.000 0.000 As
0.500 0.000 0.000 Ir
0.000 0.000 0.500 Ir
0.000 0.500 0.000 Ir
0.500 0.500 0.500 Zn
```

## Properties
- M_tot: 0.000 μB/cell
- Symmetry: Pm-3m, No. 221
- Total DFT energy (no corrections): -241.50 eV per cell
- Formation enthalpy at 0 K: 106.1 kJ/mol of atoms